{
  "formula": "CaCuHg3",
  "functional": "PBE",
  "state": "optimized geometry",
  "volume_a3_per_cell": 218,
  "formation_enthalpy_0k_ev_per_fu": 2.90,
  "e_tot_ev_per_atom": -0.82,
  "lattice": [[6.017, 0.000, 0.000], [0.000, 6.017, 0.000], [0.000, 0.000, 6.017]],
  "species": ["Ca", "Hg", "Hg", "Hg", "Cu"],
  "fractional_positions": [[0.000, 0.000, 0.000], [0.000, 0.500, 0.000], [0.000, 0.000, 0.500], [0.500, 0.000, 0.000], [0.500, 0.500, 0.500]]
}